No. 1
VASP calculation (PBE-GGA) on an optimized crystal structure of Sr3Cd7Sn4.

Values from the calculation:
Mass density, g/cm³: 6.62
E_form, eV per atom: -0.354

Unit cell a=4.9271 b=9.2569 c=9.3848 alpha=70.88 beta=74.78 gamma=74.57
Fractional positions:
Sr1 0.0000 0.5000 0.5000
Sr2 0.2957 0.2031 0.2055
Sr3 0.7043 0.7969 0.7945
Cd1 0.4956 0.1772 0.8316
Cd2 0.3480 0.7913 0.5126
Cd3 0.6520 0.2087 0.4874
Cd4 0.1459 0.6399 0.0684
Cd5 0.8541 0.3601 0.9316
Cd6 0.5044 0.8228 0.1684
Cd7 0.0000 0.0000 0.0000
Sn1 0.3474 0.5236 0.7815
Sn2 0.1425 0.0723 0.6427
Sn3 0.8575 0.9277 0.3573
Sn4 0.6526 0.4764 0.2185

***

No. 2
VASP calculation (PBE-GGA) on an optimized crystal structure of Sr5Cd2Sn5.

Values from the calculation:
Mass density, g/cm³: 5.41
E_form, eV per atom: -0.554

Unit cell a=5.0120 b=9.3221 c=9.3285 alpha=69.55 beta=74.42 gamma=74.41
Fractional positions:
Sr1 0.3570 0.9509 0.3351
Sr2 0.6430 0.0491 0.6649
Sr3 0.3573 0.3346 0.9507
Sr4 0.6427 0.6654 0.0493
Sr5 0.5000 0.5000 0.5000
Sn1 0.7655 0.2347 0.2343
Sn2 0.0000 0.0000 0.0000
Sn3 0.9999 0.7025 0.2977
Sn4 0.0001 0.2975 0.7023
Sn5 0.2345 0.7653 0.7657
Cd1 0.1551 0.3450 0.3449
Cd2 0.8449 0.6550 0.6551

***

No. 3
VASP calculation (PBE-GGA) on an optimized crystal structure of Sr2CdSn.

Values from the calculation:
ΔE to the lowest computed polymorph, meV per atom: 44
Mass density, g/cm³: 5.06
E_form, eV per atom: -0.506

Unit cell a=4.0153 b=5.7617 c=5.7617 alpha=90.00 beta=90.00 gamma=90.00
Fractional positions:
Sr1 0.0000 0.5000 0.0000
Sr2 0.0000 0.0000 0.5000
Sn1 0.5000 0.0000 0.0000
Cd1 0.5000 0.5000 0.5000

***

No. 4
VASP calculation (PBE-GGA) on an optimized crystal structure of Sr4Cd2Sn.

Values from the calculation:
Mass density, g/cm³: 4.34
E_form, eV per atom: -0.343

Unit cell a=5.7012 b=5.7012 c=9.9945 alpha=73.43 beta=73.43 gamma=60.00
Fractional positions:
Sr1 0.8763 0.8763 0.3711
Sr2 0.1237 0.1237 0.6289
Sr3 0.6255 0.6255 0.1236
Sr4 0.3745 0.3745 0.8764
Sn1 0.0000 0.0000 0.0000
Cd1 0.2493 0.2493 0.2520
Cd2 0.7507 0.7507 0.7480

***

No. 5
VASP calculation (PBE-GGA) on an optimized crystal structure of Sr2CdSn.

Values from the calculation:
ΔE to the lowest computed polymorph, meV per atom: 612
Mass density, g/cm³: 4.23
E_form, eV per atom: 0.063

Unit cell a=3.9426 b=3.9426 c=12.0639 alpha=80.60 beta=80.60 gamma=60.00
Fractional positions:
Sr1 0.0935 0.0935 0.7194
Sr2 0.9065 0.9065 0.2806
Cd1 0.5000 0.5000 0.5000
Sn1 0.0000 0.0000 0.0000

***

No. 6
VASP calculation (PBE-GGA) on an optimized crystal structure of SrCd4Sn4.

Values from the calculation:
Mass density, g/cm³: 6.69
E_form, eV per atom: -0.106

Unit cell a=6.6135 b=6.6135 c=11.4877 alpha=90.00 beta=90.00 gamma=90.00
Fractional positions:
Sn1 0.7689 0.5000 0.2196
Sn2 0.2311 0.5000 0.2196
Sn3 0.2689 0.0000 0.2804
Sn4 0.0000 0.7311 0.7196
Sn5 0.5000 0.7689 0.7804
Sn6 0.5000 0.2311 0.7804
Sn7 0.7311 0.0000 0.2804
Sn8 0.0000 0.2689 0.7196
Cd1 0.2839 0.0000 0.5591
Cd2 0.2161 0.5000 0.9409
Cd3 0.5000 0.7839 0.0591
Cd4 0.0000 0.7161 0.4409
Cd5 0.5000 0.2161 0.0591
Cd6 0.7839 0.5000 0.9409
Cd7 0.0000 0.2839 0.4409
Cd8 0.7161 0.0000 0.5591
Sr1 0.0000 0.0000 0.0000
Sr2 0.5000 0.5000 0.5000

***

Q: mass density of number 1 (Sr3Cd7Sn4)?
A: 6.62 g/cm³

***

Q: Among the records above, which one has the lowest mass density?
A: number 5

***

Q: Look up the mass density of the third one.
A: 5.06 g/cm³

***

Q: Among the records above, which one has the highest E_form?
A: number 5